(1)
The following is a GGA-PBE calculation of KBe2In after structural relaxation, from the Alexandria database.

a b c (Å): 2.918 3.307 8.239
angles (deg): 90.00 90.00 90.00
Positions (direct):
Be 0.000 0.000 0.107
K 0.500 0.500 0.786
In 0.000 0.000 0.432
Be 0.500 0.500 0.175

Summary:
Raw total energy in eV/atom: -2.309
Spin magnetization in μB per formula unit: 0.0
Energy of formation in eV per atom: 0.51



(2)
The following is a GGA-PBE calculation of KRbH4Rh after structural relaxation, from the Alexandria database.

a b c (Å): 5.444 5.426 7.303
angles (deg): 90.00 111.88 90.00
Positions (direct):
H 0.121 0.750 0.243
H 0.500 0.500 0.500
H 0.879 0.250 0.757
Rb 0.402 0.250 0.805
H 0.625 0.250 0.251
H 0.000 0.500 0.500
H 0.375 0.750 0.749
H 0.000 0.000 0.500
Rh 0.751 0.250 0.502
Rh 0.249 0.750 0.498
H 0.500 0.000 0.500
K 0.114 0.250 0.227
K 0.886 0.750 0.773
Rb 0.598 0.750 0.195

Summary:
Raw total energy in eV/atom: -3.470
Spin magnetization in μB per formula unit: 0.0



(3)
The following is a GGA-PBE calculation of Hf2AgRh after structural relaxation, from the Alexandria database.

a b c (Å): 3.252 3.252 7.055
angles (deg): 90.00 90.00 90.00
Positions (direct):
Hf 0.000 0.000 0.232
Hf 0.000 0.000 0.768
Rh 0.500 0.500 0.000
Ag 0.500 0.500 0.500

Summary:
Raw total energy in eV/atom: -7.928
Spin magnetization in μB per formula unit: 0.0
Energy of formation in eV per atom: -0.40



(4)
The following is a GGA-PBE calculation of ZnReNi after structural relaxation, from the Alexandria database.

a b c (Å): 5.336 3.749 8.374
angles (deg): 90.00 107.72 90.00
Positions (direct):
Re 0.861 0.000 0.361
Ni 0.693 0.500 0.534
Re 0.997 0.000 0.698
Zn 0.374 0.500 0.874
Ni 0.693 0.000 0.034
Ni 0.511 0.500 0.208
Ni 0.511 0.000 0.708
Zn 0.216 0.500 0.541
Zn 0.374 0.000 0.374
Re 0.997 0.500 0.198
Re 0.861 0.500 0.861
Zn 0.216 0.000 0.041

Summary:
Raw total energy in eV/atom: -6.475
Spin magnetization in μB per formula unit: 0.0
Energy of formation in eV per atom: 0.03
ΔE to the lowest computed polymorph in kJ/mol of formula units: 8



(5)
The following is a GGA-PBE calculation of Li7Sn2 after structural relaxation, from the Alexandria database.

a b c (Å): 5.314 5.314 14.479
angles (deg): 79.43 79.43 60.00
Positions (direct):
Li 0.621 0.109 0.649
Sn 0.846 0.846 0.461
Li 0.000 0.500 0.000
Li 0.608 0.608 0.175
Li 0.500 0.500 0.500
Li 0.621 0.621 0.649
Li 0.109 0.621 0.649
Li 0.891 0.379 0.351
Li 0.379 0.379 0.351
Li 0.277 0.277 0.169
Sn 0.956 0.956 0.131
Sn 0.154 0.154 0.539
Li 0.392 0.392 0.825
Li 0.500 0.500 0.000
Li 0.500 0.000 0.000
Sn 0.044 0.044 0.869
Li 0.379 0.891 0.351
Li 0.723 0.723 0.831

Summary:
Raw total energy in eV/atom: -2.479
Spin magnetization in μB per formula unit: 0.3
Energy of formation in eV per atom: -0.10